No. 1
Density functional theory data (PBE-GGA) for an optimized crystal structure of Ca2ZrHg.

abc: 3.6043 3.6043 32.1095
angles: 90.00 90.00 120.00
Sites, in units of the cell vectors:
Ca 0.0000 0.0000 0.0000
Ca 0.0000 0.0000 0.2300
Ca 0.3333 0.6667 0.6667
Ca 0.3333 0.6667 0.8967
Ca 0.6667 0.3333 0.3333
Ca 0.6667 0.3333 0.5633
Zr 0.0000 0.0000 0.4771
Zr 0.3333 0.6667 0.1438
Zr 0.6667 0.3333 0.8104
Hg 0.0000 0.0000 0.7415
Hg 0.3333 0.6667 0.4081
Hg 0.6667 0.3333 0.0748

Output
* DOS(E_F): 1.194 states/eV/atom
* raw total energy: -3.134 eV per atom
* space group: R3m
* E_form: 0.079 eV per atom
* crystal system: trigonal



No. 2
Density functional theory data (PBE-GGA) for an optimized crystal structure of CaHoI2.

abc: 3.9645 3.9645 32.8399
angles: 90.00 90.00 120.00
Sites, in units of the cell vectors:
Ca 0.0000 0.0000 0.0000
Ca 0.3333 0.6667 0.6667
Ca 0.6667 0.3333 0.3333
Ho 0.0000 0.0000 0.5000
Ho 0.3333 0.6667 0.1667
Ho 0.6667 0.3333 0.8333
I 0.0000 0.0000 0.1025
I 0.0000 0.0000 0.8975
I 0.3333 0.6667 0.5641
I 0.3333 0.6667 0.7692
I 0.6667 0.3333 0.2308
I 0.6667 0.3333 0.4359

Output
* DOS(E_F): 0.992 states/eV/atom
* formation energy without anion corrections: -0.773 eV per atom
* raw total energy: -3.193 eV per atom
* space group: R-3m
* crystal system: trigonal



No. 3
Density functional theory data (PBE-GGA) for an optimized crystal structure of CaHoI6.

abc: 7.6796 7.6848 8.0173
angles: 61.83 61.83 60.05
Sites, in units of the cell vectors:
Ca 0.0000 0.0000 0.0000
Ho 0.5000 0.5000 0.5000
I 0.0814 0.7389 0.7459
I 0.2652 0.5671 0.2480
I 0.4301 0.0842 0.7484
I 0.5699 0.9158 0.2516
I 0.7348 0.4329 0.7520
I 0.9186 0.2611 0.2541

Output
* DOS(E_F): 1.683 states/eV/atom
* formation energy without anion corrections: -1.156 eV per atom
* raw total energy: -3.141 eV per atom
* space group: P-1
* crystal system: triclinic



No. 4
Density functional theory data (PBE-GGA) for an optimized crystal structure of CaHoI.

abc: 3.8686 3.8686 15.3652
angles: 90.00 90.00 120.00
Sites, in units of the cell vectors:
Ca 0.0000 0.0000 0.0000
Ca 0.3333 0.6667 0.5000
Ho 0.3333 0.6667 0.1912
Ho 0.3333 0.6667 0.8088
I 0.0000 0.0000 0.3440
I 0.0000 0.0000 0.6560

Output
* DOS(E_F): 0.961 states/eV/atom
* formation energy without anion corrections: -0.482 eV per atom
* raw total energy: -3.192 eV per atom
* space group: P-6m2
* crystal system: hexagonal



No. 5
Density functional theory data (PBE-GGA) for an optimized crystal structure of CaHoI5.

abc: 8.0715 8.0715 12.0002
angles: 109.86 109.86 84.33
Sites, in units of the cell vectors:
Ca 0.0601 0.9399 0.7500
Ca 0.9399 0.0601 0.2500
Ho 0.0000 0.5000 0.0000
Ho 0.5000 0.0000 0.5000
I 0.1619 0.6304 0.8540
I 0.2148 0.2663 0.5008
I 0.2377 0.7623 0.2500
I 0.2663 0.2148 0.0008
I 0.3696 0.8381 0.6460
I 0.6304 0.1619 0.3540
I 0.7337 0.7852 0.9992
I 0.7623 0.2377 0.7500
I 0.7852 0.7337 0.4992
I 0.8381 0.3696 0.1460

Output
* DOS(E_F): 0.000 states/eV/atom
* formation energy without anion corrections: -1.394 eV per atom
* raw total energy: -3.442 eV per atom
* space group: C2/c
* crystal system: monoclinic



No. 6
Density functional theory data (PBE-GGA) for an optimized crystal structure of LiCaHoI6.

abc: 7.6852 7.6852 13.9344
angles: 90.00 90.00 120.00
Sites, in units of the cell vectors:
Li 0.0000 0.0000 0.0000
Li 0.0000 0.0000 0.5000
Ca 0.3333 0.6667 0.2500
Ca 0.6667 0.3333 0.7500
Ho 0.3333 0.6667 0.7500
Ho 0.6667 0.3333 0.2500
I 0.0115 0.3439 0.6244
I 0.0115 0.6676 0.8756
I 0.3324 0.3439 0.8756
I 0.3324 0.9885 0.6244
I 0.3439 0.0115 0.1244
I 0.3439 0.3324 0.3756
I 0.6561 0.6676 0.6244
I 0.6561 0.9885 0.8756
I 0.6676 0.0115 0.3756
I 0.6676 0.6561 0.1244
I 0.9885 0.3324 0.1244
I 0.9885 0.6561 0.3756

Output
* DOS(E_F): 0.000 states/eV/atom
* formation energy without anion corrections: -1.387 eV per atom
* raw total energy: -3.365 eV per atom
* space group: P-31c
* crystal system: trigonal